# 1
# PBE-GGA BePI2, relaxed
# * calculated volume: 35.1 A^3/atom
# * ΔE_f (raw): 545 meV per atom
# * space group: I-42d, No. 122
# * distance to the lowest polymorph of the same formula: 0.0 meV/atom
data_BePI2
_chemical_formula_sum 'Be4 P4 I8'
_symmetry_space_group_name_H-M 'P 1'
_symmetry_Int_Tables_number 1
_cell_length_a 7.5551
_cell_length_b 7.5551
_cell_length_c 9.8355
_cell_angle_alpha 90.00
_cell_angle_beta 90.00
_cell_angle_gamma 90.00
loop_
_symmetry_equiv_pos_as_xyz
'x,y,z'
loop_
_atom_site_label
_atom_site_fract_x
_atom_site_fract_y
_atom_site_fract_z
Be1 0.0000 0.0000 0.0000
Be2 0.0000 0.5000 0.2500
Be3 0.5000 0.0000 0.7500
Be4 0.5000 0.5000 0.5000
P1 0.0000 0.0000 0.5000
P2 0.0000 0.5000 0.7500
P3 0.5000 0.0000 0.2500
P4 0.5000 0.5000 0.0000
I1 0.1294 0.2500 0.1250
I2 0.2500 0.6294 0.3750
I3 0.2500 0.8706 0.8750
I4 0.3706 0.2500 0.6250
I5 0.6294 0.7500 0.6250
I6 0.7500 0.1294 0.8750
I7 0.7500 0.3706 0.3750
I8 0.8706 0.7500 0.1250

---

# 2
# PBE-GGA Be2PI8, relaxed
# * calculated volume: 43.1 A^3/atom
# * ΔE_f (raw): -227 meV per atom
# * space group: C2/m, No. 12
data_Be2PI8
_chemical_formula_sum 'Be2 P1 I8'
_symmetry_space_group_name_H-M 'P 1'
_symmetry_Int_Tables_number 1
_cell_length_a 8.5432
_cell_length_b 8.5432
_cell_length_c 6.7347
_cell_angle_alpha 96.43
_cell_angle_beta 96.43
_cell_angle_gamma 76.90
loop_
_symmetry_equiv_pos_as_xyz
'x,y,z'
loop_
_atom_site_label
_atom_site_fract_x
_atom_site_fract_y
_atom_site_fract_z
Be1 0.1731 0.1731 0.1601
Be2 0.8269 0.8269 0.8399
P1 0.0000 0.0000 0.5000
I1 0.0858 0.7266 0.7103
I2 0.1719 0.1719 0.7929
I3 0.2734 0.9142 0.2897
I4 0.3512 0.3512 0.1938
I5 0.6488 0.6488 0.8062
I6 0.7266 0.0858 0.7103
I7 0.8281 0.8281 0.2071
I8 0.9142 0.2734 0.2897

---

# 3
# PBE-GGA BePI2, relaxed
# * calculated volume: 22.6 A^3/atom
# * ΔE_f (raw): 1077 meV per atom
# * space group: Fm-3m, No. 225
# * distance to the lowest polymorph of the same formula: 532.0 meV/atom
data_BePI2
_chemical_formula_sum 'Be4 P4 I8'
_symmetry_space_group_name_H-M 'P 1'
_symmetry_Int_Tables_number 1
_cell_length_a 7.1248
_cell_length_b 7.1248
_cell_length_c 7.1248
_cell_angle_alpha 90.00
_cell_angle_beta 90.00
_cell_angle_gamma 90.00
loop_
_symmetry_equiv_pos_as_xyz
'x,y,z'
loop_
_atom_site_label
_atom_site_fract_x
_atom_site_fract_y
_atom_site_fract_z
Be1 0.0000 0.0000 0.0000
Be2 0.0000 0.5000 0.5000
Be3 0.5000 0.0000 0.5000
Be4 0.5000 0.5000 0.0000
P1 0.0000 0.0000 0.5000
P2 0.0000 0.5000 0.0000
P3 0.5000 0.0000 0.0000
P4 0.5000 0.5000 0.5000
I1 0.2500 0.2500 0.2500
I2 0.2500 0.2500 0.7500
I3 0.2500 0.7500 0.2500
I4 0.2500 0.7500 0.7500
I5 0.7500 0.2500 0.2500
I6 0.7500 0.2500 0.7500
I7 0.7500 0.7500 0.2500
I8 0.7500 0.7500 0.7500